No. 1
Compound: SrSn2F
Source: the Alexandria database
Functional: PBE-GGA
Structure: relaxed

Results
The density of states at the Fermi level comes out at 3.839 states/eV/f.u. As for the formation energy without anion corrections: -520.9 meV/atom. The offset from the most stable computed form is 247.9 meV/atom. Its crystal system is cubic.

Cell lengths 5.330, 5.330, 5.330 Å; angles 60.00, 60.00, 60.00 degrees
Positions (direct):
Sr (0.500, 0.500, 0.500)
Sn (0.250, 0.250, 0.250)
Sn (0.750, 0.750, 0.750)
F (0.000, 0.000, 0.000)

=====

No. 2
Compound: SrSn2F6
Source: the Alexandria database
Functional: PBE-GGA
Structure: relaxed

Results
The density of states at the Fermi level comes out at 0.000 states/eV/f.u. As for the formation energy without anion corrections: -2822.2 meV/atom. The offset from the most stable computed form is 0.0 meV/atom. Its crystal system is monoclinic.

Cell lengths 8.027, 7.155, 7.155 Å; angles 69.99, 63.69, 63.69 degrees
Positions (direct):
Sn (0.730, 0.595, 0.745)
Sn (0.230, 0.745, 0.595)
Sn (0.770, 0.255, 0.405)
Sn (0.270, 0.405, 0.255)
F (0.463, 0.811, 0.614)
F (0.601, 0.891, 0.850)
F (0.899, 0.150, 0.109)
F (0.627, 0.569, 0.270)
F (0.101, 0.850, 0.891)
F (0.873, 0.730, 0.431)
F (0.373, 0.431, 0.730)
F (0.127, 0.270, 0.569)
F (0.537, 0.189, 0.386)
F (0.963, 0.614, 0.811)
F (0.037, 0.386, 0.189)
F (0.399, 0.109, 0.150)
Sr (0.750, 0.869, 0.131)
Sr (0.250, 0.131, 0.869)

=====

No. 3
Compound: Sr2Sn2F7
Source: the Alexandria database
Functional: PBE-GGA
Structure: relaxed

Results
The density of states at the Fermi level comes out at 2.370 states/eV/f.u. As for the formation energy without anion corrections: -2789.7 meV/atom. Its crystal system is orthorhombic.

Cell lengths 6.035, 5.879, 6.035 Å; angles 89.98, 90.07, 90.02 degrees
Positions (direct):
F (0.000, 0.745, 0.500)
F (0.500, 0.255, 0.000)
F (0.500, 0.745, 0.000)
F (0.000, 0.255, 0.500)
F (0.500, 0.738, 0.500)
F (0.500, 0.262, 0.500)
F (0.000, 0.000, 0.000)
Sn (0.262, 0.000, 0.738)
Sn (0.738, 0.000, 0.262)
Sr (0.735, 0.500, 0.735)
Sr (0.265, 0.500, 0.265)

=====

Q: Which value of formation energy without anion corrections does entry 2 give?
A: -2822.2 meV/atom